The following is a DFT calculation (PBE-GGA) of a relaxed structure of PaOsRu2.

## Properties
- energy of formation from the pure elements (eV/f.u.) = -1.17
- energy above the lowest structure with this stoichiometry (meV per atom) = 0
- crystal system = tetragonal

a = 4.0752 Å, b = 4.0752 Å, c = 4.0121 Å
α = 90.00°, β = 90.00°, γ = 90.00°
With the nearest neighbours (Å) after each atom.
Space group P4/mmm (No. 123)
Symmetry-distinct sites (fractional):
Pa1 0.0000 0.0000 0.0000 [1 per cell]  8 Ru 2.86, 4 Os 2.88
Os1 0.5000 0.5000 0.0000 [1 per cell]  8 Ru 2.86, 4 Pa 2.88
Ru1 0.0000 0.5000 0.5000 [2 per cell]  4 Pa 2.86, 4 Os 2.86, 4 Ru 2.88